1.
# KPa4Cu3O12 (PBE, optimized geometry)
data_KPa4Cu3O12
_cell_length_a 8.2611
_cell_length_b 8.2611
_cell_length_c 8.2611
_cell_angle_alpha 90.00
_cell_angle_beta 90.00
_cell_angle_gamma 90.00
_space_group_name_H-M_alt 'I m -3'
_space_group_IT_number 204
_space_group_name_Hall '-I 2 2 3'
loop_
_atom_site_label
_atom_site_type_symbol
_atom_site_fract_x
_atom_site_fract_y
_atom_site_fract_z
_atom_site_occupancy
K1 K 0.0000 0.0000 0.0000 1
Pa1 Pa 0.2500 0.2500 0.2500 1
Cu1 Cu 0.0000 0.0000 0.5000 1
O1 O 0.0000 0.3054 0.1750 1
# - Uncorrected formation energy: -2.65 eV per atom
# - VASP energy: -327.652 eV/cell


2.
# KPaCuO4 (PBE, optimized geometry)
data_KPaCuO4
_cell_length_a 5.9340
_cell_length_b 6.9913
_cell_length_c 11.1229
_cell_angle_alpha 90.00
_cell_angle_beta 90.00
_cell_angle_gamma 90.00
_space_group_name_H-M_alt 'I m m a'
_space_group_IT_number 74
_space_group_name_Hall '-I 2b 2'
loop_
_atom_site_label
_atom_site_type_symbol
_atom_site_fract_x
_atom_site_fract_y
_atom_site_fract_z
_atom_site_occupancy
K1 K 0.0000 0.2500 0.1865 1
Pa1 Pa 0.0000 0.0000 0.5000 1
Cu1 Cu 0.2500 0.2500 0.7500 1
O1 O 0.0000 0.0680 0.6979 1
O2 O 0.2155 0.2500 0.4787 1
# - Uncorrected formation energy: -2.23 eV per atom
# - VASP energy: -200.490 eV/cell